{
  "formula": "KLi2Pb",
  "functional": "meta-GGA SCAN",
  "state": "single point on PBEsol structure",
  "delta_e_f_ev_per_atom": -0.128,
  "energy_ev_per_atom": -22.3504,
  "lattice_angstrom": [[-2.334, 2.334, 5.055], [2.334, -2.334, 5.055], [2.334, 2.334, -5.055]],
  "species": ["K", "Li", "Li", "Pb"],
  "frac_coords": [[0.000, 0.000, 0.000], [0.500, 0.500, 0.000], [0.750, 0.250, 0.500], [0.250, 0.750, 0.500]]
}